1.
DFT (GGA-PBE) results for TlN after structural relaxation.

Results
- offset from the most stable computed form (meV/atom) = 834
- raw formation energy (eV/atom) = 0.933
- theoretical density (g/cm3) = 9.48

a b c (Å): 6.4126 6.4126 3.7222
angles (deg): 90.00 90.00 90.00
Last column: nearest neighbours and their distance in Å.
Sites, in units of the cell vectors:
N (0.1743, 0.1743, 0.5000)  4 Tl 2.25-2.32
N (0.8257, 0.8257, 0.5000)  4 Tl 2.25-2.32
N (0.3257, 0.6743, 0.0000)  4 Tl 2.25-2.32
N (0.6743, 0.3257, 0.0000)  4 Tl 2.25-2.32
Tl (0.8134, 0.1866, 0.5000)  4 N 2.25-2.32
Tl (0.6866, 0.6866, 0.0000)  4 N 2.25-2.32
Tl (0.1866, 0.8134, 0.5000)  4 N 2.25-2.32
Tl (0.3134, 0.3134, 0.0000)  4 N 2.25-2.32

2.
DFT (GGA-PBE) results for TlN after structural relaxation.

Results
- offset from the most stable computed form (meV/atom) = 950
- raw formation energy (eV/atom) = 1.048
- theoretical density (g/cm3) = 8.71

a b c (Å): 6.6195 6.6929 7.5159
angles (deg): 90.00 90.00 90.00
Last column: nearest neighbours and their distance in Å.
Sites, in units of the cell vectors:
N (0.6308, 0.5957, 0.7163)  4 Tl 2.17-2.39
N (0.8692, 0.4043, 0.2163)  4 Tl 2.17-2.39
N (0.3692, 0.0957, 0.7837)  4 Tl 2.17-2.39
N (0.6400, 0.1080, 0.4675)  4 Tl 2.21-2.41
N (0.3600, 0.6080, 0.0325)  4 Tl 2.21-2.41
N (0.1308, 0.9043, 0.2837)  4 Tl 2.17-2.39
N (0.8600, 0.8920, 0.9675)  4 Tl 2.21-2.41
N (0.1400, 0.3920, 0.5325)  4 Tl 2.21-2.41
Tl (0.8130, 0.0521, 0.2216)  4 N 2.21-2.39
Tl (0.3130, 0.4479, 0.7784)  4 N 2.21-2.39
Tl (0.2789, 0.0721, 0.4930)  4 N 2.17-2.41
Tl (0.2211, 0.9279, 0.9930)  4 N 2.17-2.41
Tl (0.1870, 0.5521, 0.2784)  4 N 2.21-2.39
Tl (0.7211, 0.5721, 0.0070)  4 N 2.17-2.41
Tl (0.7789, 0.4279, 0.5070)  4 N 2.17-2.41
Tl (0.6870, 0.9479, 0.7216)  4 N 2.21-2.39

3.
DFT (GGA-PBE) results for TlN after structural relaxation.

Results
- offset from the most stable computed form (meV/atom) = 814
- raw formation energy (eV/atom) = 0.912
- theoretical density (g/cm3) = 9.89

a b c (Å): 3.7292 3.7292 3.7292
angles (deg): 60.00 60.00 60.00
Last column: nearest neighbours and their distance in Å.
Sites, in units of the cell vectors:
Tl (0.0000, 0.0000, 0.0000)  4 N 2.28
N (0.7500, 0.7500, 0.7500)  4 Tl 2.28

4.
DFT (GGA-PBE) results for TlN after structural relaxation.

Results
- offset from the most stable computed form (meV/atom) = 1680
- raw formation energy (eV/atom) = 1.778
- theoretical density (g/cm3) = 11.32

a b c (Å): 3.1762 3.1762 3.1762
angles (deg): 90.00 90.00 90.00
Last column: nearest neighbours and their distance in Å.
Sites, in units of the cell vectors:
N (0.5000, 0.5000, 0.5000)  8 Tl 2.75
Tl (0.0000, 0.0000, 0.0000)  8 N 2.75

5.
DFT (GGA-PBE) results for TlN after structural relaxation.

Results
- offset from the most stable computed form (meV/atom) = 970
- raw formation energy (eV/atom) = 1.069
- theoretical density (g/cm3) = 7.23

a b c (Å): 10.2415 10.2415 3.8264
angles (deg): 90.00 90.00 90.00
Last column: nearest neighbours and their distance in Å.
Sites, in units of the cell vectors:
Tl (0.1072, 0.3779, 0.0000)  4 N 2.23-2.40
Tl (0.3701, 0.2244, 0.5000)  3 N 2.22-2.25
Tl (0.6221, 0.1072, 0.0000)  4 N 2.23-2.40
Tl (0.3779, 0.8928, 0.0000)  4 N 2.23-2.40
Tl (0.2244, 0.6299, 0.5000)  3 N 2.22-2.25
Tl (0.6299, 0.7756, 0.5000)  3 N 2.22-2.25
Tl (0.7756, 0.3701, 0.5000)  3 N 2.22-2.25
Tl (0.8928, 0.6221, 0.0000)  4 N 2.23-2.40
N (0.8895, 0.3873, 0.0000)  4 Tl 2.23-2.40
N (0.6134, 0.2261, 0.5000)  3 Tl 2.22-2.27
N (0.6127, 0.8895, 0.0000)  4 Tl 2.23-2.40
N (0.3866, 0.7739, 0.5000)  3 Tl 2.22-2.27
N (0.7739, 0.6134, 0.5000)  3 Tl 2.22-2.27
N (0.3873, 0.1105, 0.0000)  4 Tl 2.23-2.40
N (0.2261, 0.3866, 0.5000)  3 Tl 2.22-2.27
N (0.1105, 0.6127, 0.0000)  4 Tl 2.23-2.40

6.
DFT (GGA-PBE) results for TlN4 after structural relaxation.

Results
- offset from the most stable computed form (meV/atom) = 0
- raw formation energy (eV/atom) = 0.303
- theoretical density (g/cm3) = 2.74

a b c (Å): 6.7696 5.8997 5.8997
angles (deg): 70.78 54.99 54.99
Last column: nearest neighbours and their distance in Å.
Sites, in units of the cell vectors:
N (0.9530, 0.6151, 0.4789)  1 N 1.13
N (0.0470, 0.3849, 0.5211)  1 N 1.13
N (0.5681, 0.4789, 0.3849)  1 N 1.13
N (0.4319, 0.5211, 0.6151)  1 N 1.13
Tl (0.0000, 0.0000, 0.0000)  4 N 2.97

7.
DFT (GGA-PBE) results for TlN after structural relaxation.

Results
- offset from the most stable computed form (meV/atom) = 1024
- raw formation energy (eV/atom) = 1.122
- theoretical density (g/cm3) = 8.69

a b c (Å): 10.1539 3.6223 6.8056
angles (deg): 90.00 90.00 90.00
Last column: nearest neighbours and their distance in Å.
Sites, in units of the cell vectors:
Tl (0.1925, 0.1517, 0.3050)  3 N 2.21-2.30
Tl (0.5000, 0.5630, 0.1459)  4 N 2.19-2.41
Tl (0.6925, 0.8483, 0.8050)  3 N 2.21-2.30
Tl (0.0000, 0.4370, 0.6459)  4 N 2.19-2.41
Tl (0.8075, 0.1517, 0.3050)  3 N 2.21-2.30
Tl (0.3075, 0.8483, 0.8050)  3 N 2.21-2.30
N (0.2861, 0.6358, 0.1659)  3 Tl 2.19-2.30
N (0.0000, 0.9411, 0.4142)  4 Tl 2.23-2.41
N (0.5000, 0.0589, 0.9142)  4 Tl 2.23-2.41
N (0.7139, 0.6358, 0.1659)  3 Tl 2.19-2.30
N (0.2139, 0.3642, 0.6659)  3 Tl 2.19-2.30
N (0.7861, 0.3642, 0.6659)  3 Tl 2.19-2.30

8.
DFT (GGA-PBE) results for Tm2TlN after structural relaxation.

Results
- raw formation energy (eV/atom) = -1.040
- theoretical density (g/cm3) = 11.34

a b c (Å): 3.4875 3.4875 7.9924
angles (deg): 77.40 77.40 60.00
Last column: nearest neighbours and their distance in Å.
Sites, in units of the cell vectors:
Tm (0.7227, 0.7227, 0.8318)  3 N 2.40
Tm (0.2773, 0.2773, 0.1682)  3 N 2.40
Tl (0.5000, 0.5000, 0.5000)  6 Tm 3.26, 6 Tl 3.49
N (0.0000, 0.0000, 0.0000)  6 Tm 2.40